No. 1
A relaxed H6S2F crystal, computed with PBE-GGA.

The size of the total moment comes out at 0.0 μB per formula unit. Its total energy is -3.563 eV per atom.

The space group is C2/c (No. 15) and the conventional cell measures 10.207, 7.332 and 6.612 Å, with angles of 90.00, 97.03 and 90.00 degrees. The asymmetric unit holds H at (0.112, 0.242, 0.254), H at (0.243, 0.001, 0.835), H at (0.247, 0.118, 0.060), S at (0.241, 0.312, 0.739) and F at (0.000, 0.311, 0.250).



No. 2
A relaxed HS2F2 crystal, computed with PBE-GGA.

The size of the total moment comes out at 0.0 μB per formula unit. Its total energy is -3.908 eV per atom.

The space group is C2/m (No. 12) and the conventional cell measures 3.068, 9.893 and 5.097 Å, with angles of 90.00, 94.58 and 90.00 degrees. The asymmetric unit holds H at (0.000, 0.000, 0.000), S at (0.000, 0.321, 0.500) and F at (0.035, 0.000, 0.777).



No. 3
A relaxed H4SF crystal, computed with PBE-GGA.

The size of the total moment comes out at 0.0 μB per formula unit. Its total energy is -3.546 eV per atom.

The space group is P2_1/c (No. 14) and the conventional cell measures 6.169, 6.845 and 8.436 Å, with angles of 90.00, 119.28 and 90.00 degrees. The asymmetric unit holds H at (0.021, 0.249, 0.320), H at (0.230, 0.743, 0.010), H at (0.286, 0.589, 0.780), H at (0.453, 0.711, 0.090), S at (0.228, 0.718, 0.262) and F at (0.358, 0.183, 0.342).



No. 4
A relaxed HS2F crystal, computed with PBE-GGA.

The size of the total moment comes out at 0.0 μB per formula unit. The energy relative to the lowest polymorph listed for this composition is 0.0 meV per atom.

The space group is P-1 (No. 2) and the conventional cell measures 3.163, 4.568 and 8.570 Å, with angles of 104.40, 90.07 and 110.19 degrees. The asymmetric unit holds H at (0.064, 0.126, 0.229), S at (0.168, 0.338, 0.676), S at (0.196, 0.392, 0.167), F at (0.500, 0.000, 0.000) and F at (0.500, 0.000, 0.500).



No. 5
A relaxed H2SF crystal, computed with PBE-GGA.

The size of the total moment comes out at 0.0 μB per formula unit. The energy relative to the lowest polymorph listed for this composition is 81.7 meV per atom.

The space group is I-42d (No. 122) and the conventional cell measures 3.932, 3.932 and 9.882 Å, with angles of 90.00, 90.00 and 90.00 degrees. The asymmetric unit holds H at (0.051, 0.250, 0.125), S at (0.000, 0.000, 0.000) and F at (0.000, 0.000, 0.500).



No. 6
A relaxed H2SF crystal, computed with PBE-GGA.

The size of the total moment comes out at 0.0 μB per formula unit. The energy relative to the lowest polymorph listed for this composition is 977.5 meV per atom.

The space group is Fm-3m (No. 225) and the conventional cell measures 5.053, 5.053 and 5.053 Å, with angles of 90.00, 90.00 and 90.00 degrees. The asymmetric unit holds H at (0.250, 0.250, 0.250), S at (0.000, 0.000, 0.000) and F at (0.000, 0.000, 0.500).